(1)
## Nb2NiAu2S6 (PBE-GGA)

Data for a geometry-optimized Nb2NiAu2S6 structure.

The structure in POSCAR format:
```
Nb2NiAu2S6
1.0
3.0053 -5.3603 0.0000
3.0053 5.3603 0.0000
-2.2358 0.0000 7.1940
Nb Ni Au S
2 1 2 6
Direct
0.1338 0.8662 0.0000
0.8662 0.1338 0.0000
0.5000 0.5000 0.0000
0.3411 0.6589 0.5000
0.6589 0.3411 0.5000
0.0970 0.0970 0.7789
0.2480 0.5847 0.1796
0.4153 0.7520 0.8204
0.5847 0.2480 0.1796
0.7520 0.4153 0.8204
0.9030 0.9030 0.2211
```

Computed properties:
* space-group type: C2/m
* crystal system: monoclinic
* raw formation energy: -5.670 eV per formula unit
* DOS at the Fermi energy: 2.6 states/eV/f.u.

(2)
## Cr2PtN (PBE-GGA)

Data for a geometry-optimized Cr2PtN structure.

The structure in POSCAR format:
```
Cr2PtN
1.0
-2.8736 2.8736 3.2626
2.8736 -2.8736 3.2626
2.8736 2.8736 -3.2626
Cr Pt N
4 2 2
Direct
0.0274 0.6250 0.9024
0.3750 0.2774 0.4024
0.7226 0.1250 0.0976
0.8750 0.9726 0.5976
0.2500 0.7500 0.5000
0.5000 0.5000 0.0000
0.0000 0.0000 0.0000
0.7500 0.2500 0.5000
```

Computed properties:
* space-group type: I-42d
* crystal system: tetragonal
* raw formation energy: -0.227 eV per formula unit
* DOS at the Fermi energy: 2.6 states/eV/f.u.